(1)
Below is a geometry-optimized PrTm3Ni8 structure, with properties calculated at the PBE level.

The structure belongs to space group R3m (No. 160, hexagonal axes); the cell edges are 5.0607, 5.0607 and 24.8929 Å and the angles 90.00°, 90.00° and 120.00°. Symmetry generates all atoms from Pr at (0.0000, 0.0000, 0.0000), Tm at (0.0000, 0.0000, 0.1257), Tm at (0.0000, 0.0000, 0.4994), Tm at (0.0000, 0.0000, 0.6231), Ni at (0.0000, 0.0000, 0.3117), Ni at (0.0000, 0.0000, 0.8123), Ni at (0.0008, 0.5004, 0.0642) and Ni at (0.1686, 0.3372, 0.8939).

The value obtained for the energy relative to the elements is -0.4387 eV/atom. The calculated density is 10.08 g/cm3. The calculation puts the energy relative to the lowest polymorph listed for this composition at 0.0000 eV/atom. For the magnetic moment, the calculation gives 0.000 μB per atom.



(2)
Below is a geometry-optimized Pr2Tm2Ni15 structure, with properties calculated at the PBE level.

The structure belongs to space group R-3m (No. 166, hexagonal axes); the cell edges are 8.5827, 8.5827 and 12.6790 Å and the angles 90.00°, 90.00° and 120.00°. Symmetry generates all atoms from Pr at (0.0000, 0.0000, 0.1425), Tm at (0.0000, 0.0000, 0.3899), Ni at (0.0000, 0.3023, 0.5000), Ni at (0.0000, 0.5000, 0.0000) and Ni at (0.0059, 0.5029, 0.6567).

The value obtained for the energy relative to the elements is -0.2262 eV/atom. The calculated density is 9.24 g/cm3. For the magnetic moment, the calculation gives 0.107 μB per atom.



(3)
Below is a geometry-optimized PrTm3Ni structure, with properties calculated at the PBE level.

The structure belongs to space group Pm-3m (No. 221); the cell edges are 5.268, 5.268 and 5.268 Å and the angles 90.00°, 90.00° and 90.00°. Symmetry generates all atoms from Pr at (0.000, 0.000, 0.000), Tm at (0.000, 0.500, 0.500) and Ni at (0.500, 0.500, 0.500).

The value obtained for the energy relative to the elements is -0.1144 eV/atom. The calculated density is 8.02 g/cm3. The calculation puts the energy relative to the lowest polymorph listed for this composition at 0.0094 eV/atom. For the magnetic moment, the calculation gives 0.000 μB per atom.



(4)
Below is a geometry-optimized PrTmNi4 structure, with properties calculated at the PBE level.

The structure belongs to space group F-43m (No. 216); the cell edges are 7.230, 7.230 and 7.230 Å and the angles 90.00°, 90.00° and 90.00°. Symmetry generates all atoms from Pr at (0.000, 0.000, 0.000), Tm at (0.250, 0.250, 0.250) and Ni at (0.124, 0.124, 0.624).

The value obtained for the energy relative to the elements is -0.3822 eV/atom. The calculated density is 9.57 g/cm3. For the magnetic moment, the calculation gives 0.000 μB per atom.



| no. | N(E_F) (states/eV/cell) |
| --- | --- |
| 1 | 18.545 |
| 2 | 79.887 |
| 3 | 7.992 |
| 4 | 14.602 |